1.
First-principles (GGA-PBE) data for RbCu2TcHg after structural relaxation, as listed in Alexandria via LeMat-Bulk.

Lattice parameters (Å, degrees): 5.204 5.204 5.179 90.00 90.00 90.00
Fractional coordinates of all 5 atoms:
Rb (0.000, 0.000, 0.000)
Cu (0.000, 0.500, 0.000)
Cu (0.500, 0.000, 0.000)
Tc (0.000, 0.000, 0.500)
Hg (0.500, 0.500, 0.500)

Values from the calculation:
Spin magnetization in μB per formula unit: 2.4
V in Å³ per cell: 140
Formation energy from the elements in meV per atom: 2219
Calculated total energy in eV/cell: -8.73

---

2.
First-principles (GGA-PBE) data for RbCuHgTe after structural relaxation, as listed in Alexandria via LeMat-Bulk.

Lattice parameters (Å, degrees): 4.508 4.508 12.720 90.00 90.00 90.00
Fractional coordinates of all 8 atoms:
Rb (0.250, 0.250, 0.245)
Rb (0.750, 0.750, 0.755)
Cu (0.250, 0.750, 0.000)
Cu (0.750, 0.250, 0.000)
Hg (0.250, 0.750, 0.500)
Hg (0.750, 0.250, 0.500)
Te (0.250, 0.250, 0.884)
Te (0.750, 0.750, 0.116)

Values from the calculation:
Spin magnetization in μB per formula unit: 0.0
V in Å³ per cell: 259
Calculated total energy in eV/cell: -20.00
Formation energy (no corrections) in eV per atom: -0.374

---

3.
First-principles (GGA-PBE) data for RbTlCuHg2 after structural relaxation, as listed in Alexandria via LeMat-Bulk.

Lattice parameters (Å, degrees): 5.234 5.234 6.078 90.00 90.00 90.00
Fractional coordinates of all 5 atoms:
Rb (0.000, 0.000, 0.000)
Tl (0.500, 0.500, 0.000)
Cu (0.000, 0.000, 0.500)
Hg (0.000, 0.500, 0.500)
Hg (0.500, 0.000, 0.500)

Values from the calculation:
Spin magnetization in μB per formula unit: 0.0
V in Å³ per cell: 166
Formation energy from the elements in meV per atom: 157
Calculated total energy in eV/cell: -7.25

---

4.
First-principles (GGA-PBE) data for RbTlCuHg2 after structural relaxation, as listed in Alexandria via LeMat-Bulk.

Lattice parameters (Å, degrees): 5.328 5.328 5.382 90.00 90.00 90.00
Fractional coordinates of all 5 atoms:
Rb (0.000, 0.000, 0.000)
Tl (0.500, 0.500, 0.000)
Cu (0.500, 0.500, 0.500)
Hg (0.000, 0.500, 0.500)
Hg (0.500, 0.000, 0.500)

Values from the calculation:
Spin magnetization in μB per formula unit: 0.0
V in Å³ per cell: 153
Formation energy from the elements in meV per atom: -14
Calculated total energy in eV/cell: -8.10

---

5.
First-principles (GGA-PBE) data for Rb2TlCuHg after structural relaxation, as listed in Alexandria via LeMat-Bulk.

Lattice parameters (Å, degrees): 6.751 6.751 5.025 90.00 90.00 90.00
Fractional coordinates of all 5 atoms:
Rb (0.000, 0.500, 0.000)
Rb (0.500, 0.000, 0.000)
Tl (0.000, 0.000, 0.500)
Cu (0.000, 0.000, 0.000)
Hg (0.500, 0.500, 0.500)

Values from the calculation:
Spin magnetization in μB per formula unit: 0.2
V in Å³ per cell: 229
Formation energy from the elements in meV per atom: 106
Calculated total energy in eV/cell: -8.17

---

6.
First-principles (GGA-PBE) data for RbCuHg2W after structural relaxation, as listed in Alexandria via LeMat-Bulk.

Lattice parameters (Å, degrees): 6.711 6.711 6.022 90.00 90.00 90.00
Fractional coordinates of all 5 atoms:
Rb (0.000, 0.000, 0.000)
Cu (0.000, 0.000, 0.500)
Hg (0.000, 0.500, 0.000)
Hg (0.500, 0.000, 0.000)
W (0.500, 0.500, 0.500)

Values from the calculation:
Spin magnetization in μB per formula unit: 5.8
V in Å³ per cell: 271
Formation energy from the elements in meV per atom: 2005
Calculated total energy in eV/cell: -8.60

---

7.
First-principles (GGA-PBE) data for RbZnCuHg2 after structural relaxation, as listed in Alexandria via LeMat-Bulk.

Lattice parameters (Å, degrees): 5.311 5.311 4.912 90.00 90.00 90.00
Fractional coordinates of all 5 atoms:
Rb (0.000, 0.000, 0.000)
Zn (0.500, 0.500, 0.000)
Cu (0.500, 0.500, 0.500)
Hg (0.000, 0.500, 0.500)
Hg (0.500, 0.000, 0.500)

Values from the calculation:
Spin magnetization in μB per formula unit: 0.0
V in Å³ per cell: 139
Formation energy from the elements in meV per atom: -2
Calculated total energy in eV/cell: -6.95

---

8.
First-principles (GGA-PBE) data for Cu2ReHg after structural relaxation, as listed in Alexandria via LeMat-Bulk.

Lattice parameters (Å, degrees): 4.642 4.642 2.763 90.00 90.00 90.00
Fractional coordinates of all 4 atoms:
Cu (0.000, 0.500, 0.000)
Cu (0.500, 0.000, 0.000)
Re (0.000, 0.000, 0.500)
Hg (0.500, 0.500, 0.500)

Values from the calculation:
Spin magnetization in μB per formula unit: 0.2
V in Å³ per cell: 60
Formation energy from the elements in meV per atom: 579
Calculated total energy in eV/cell: -18.63

---

What did the first record say?
First-principles (GGA-PBE) data for RbCu2TcHg after structural relaxation, as listed in Alexandria via LeMat-Bulk.

Lattice parameters (Å, degrees): 5.204 5.204 5.179 90.00 90.00 90.00
Fractional coordinates of all 5 atoms:
Rb (0.000, 0.000, 0.000)
Cu (0.000, 0.500, 0.000)
Cu (0.500, 0.000, 0.000)
Tc (0.000, 0.000, 0.500)
Hg (0.500, 0.500, 0.500)

Values from the calculation:
Spin magnetization in μB per formula unit: 2.4
V in Å³ per cell: 140
Formation energy from the elements in meV per atom: 2219
Calculated total energy in eV/cell: -8.73